[1]
Compound: Zr2Bi2W
Source: the Alexandria database
Functional: meta-GGA SCAN
Structure: PBEsol geometry

It has space group I4/mmm (No. 139), with a = 4.0038 Å, b = 4.0038 Å, c = 15.5320 Å, α = 90.00°, β = 90.00° and γ = 90.00°. The inequivalent atoms are Zr at (0.0000, 0.0000, 0.0921), Bi at (0.0000, 0.5000, 0.2500) and W at (0.0000, 0.0000, 0.5000).

The value obtained for the final energy is -56.851 eV/atom.



[2]
Compound: BaAl9Fe2
Source: the Alexandria database
Functional: meta-GGA SCAN
Structure: PBEsol geometry

It has space group P6/mmm (No. 191), with a = 7.9437 Å, b = 7.9437 Å, c = 3.8981 Å, α = 90.00°, β = 90.00° and γ = 120.00°. The inequivalent atoms are Ba at (0.0000, 0.0000, 0.0000), Al at (0.0000, 0.5000, 0.0000), Al at (0.2164, 0.4329, 0.5000) and Fe at (0.3333, 0.6667, 0.0000).

The value obtained for the final energy is -12.434 eV/atom.



[3]
Compound: KSrZn3
Source: the Alexandria database
Functional: meta-GGA SCAN
Structure: PBEsol geometry

It has space group Pm-3m (No. 221), with a = 5.5130 Å, b = 5.5130 Å, c = 5.5130 Å, α = 90.00°, β = 90.00° and γ = 90.00°. The inequivalent atoms are K at (0.0000, 0.0000, 0.0000), Sr at (0.5000, 0.5000, 0.5000) and Zn at (0.0000, 0.0000, 0.5000).

The value obtained for the final energy is -13.631 eV/atom.



[4]
Compound: CaScCd2
Source: the Alexandria database
Functional: meta-GGA SCAN
Structure: PBEsol geometry

It has space group C2/m (No. 12), with a = 9.6728 Å, b = 3.4092 Å, c = 6.3113 Å, α = 90.00°, β = 100.71° and γ = 90.00°. The inequivalent atoms are Ca at (0.0000, 0.0000, 0.0000), Sc at (0.0000, 0.5000, 0.5000) and Cd at (0.2448, 0.0000, 0.7127).

The value obtained for the final energy is -21.322 eV/atom.



[5]
Compound: Rb2SrV4O12
Source: the Alexandria database
Functional: meta-GGA SCAN
Structure: PBEsol geometry

It has space group P4/nbm (No. 125, origin choice 2), with a = 11.0338 Å, b = 11.0338 Å, c = 5.4581 Å, α = 90.00°, β = 90.00° and γ = 90.00°. The inequivalent atoms are Rb at (0.0000, 0.0000, 0.0000), Sr at (0.2500, 0.2500, 0.0000), V at (0.0284, 0.7500, 0.5000), O at (0.0566, 0.2195, 0.2593) and O at (0.1217, 0.6217, 0.5707).

The energy relative to the elements, uncorrected comes out at -2.6964 eV per atom.



[6]
Compound: Li17In12
Source: the Alexandria database
Functional: meta-GGA SCAN
Structure: PBEsol geometry

It has space group I-43m (No. 217), with a = 10.5111 Å, b = 10.5111 Å, c = 10.5111 Å, α = 90.00°, β = 90.00° and γ = 90.00°. The inequivalent atoms are Li at (0.0000, 0.0000, 0.0000), Li at (0.0533, 0.3626, 0.6374), Li at (0.1744, 0.1744, 0.1744) and In at (0.0967, 0.0967, 0.7069).

The value obtained for the final energy is -15.545 eV/atom.



| no. | V (Å³ per atom) | M_tot (μB/f.u.) |
| --- | --- | --- |
| 1 | 24.9 | 0.0 |
| 2 | 17.8 | 1.4 |
| 3 | 33.5 | 0.0 |
| 4 | 25.6 | 0.0 |
| 5 | 17.5 | 0.0 |
| 6 | 20.0 | 0.0 |